(1)
Computed, not measured: a relaxed Y2BeSi4Ir3 crystal at the GGA-PBE level of DFT.

Summary:
Formation energy without anion corrections ... -0.8691 eV per atom
Crystal system ... tetragonal
M_tot ... 0.00 μB per cell
V ... 16.59 A^3/atom

Unit cell a=4.062 b=4.062 c=10.055 alpha=90.00 beta=90.00 gamma=90.00
Sites, in units of the cell vectors:
1 Y 0.500 0.000 0.251
2 Y 0.000 0.500 0.749
3 Be 0.500 0.500 0.500
4 Si 0.500 0.500 0.000
5 Si 0.000 0.000 0.000
6 Si 0.500 0.000 0.633
7 Si 0.000 0.500 0.367
8 Ir 0.000 0.000 0.500
9 Ir 0.500 0.000 0.871
10 Ir 0.000 0.500 0.129

---

(2)
Computed, not measured: a relaxed HgAsI6 crystal at the GGA-PBE level of DFT.

Summary:
Formation energy without anion corrections ... -0.0369 eV per atom
Crystal system ... triclinic
M_tot ... 0.00 μB per cell
V ... 39.82 A^3/atom

Unit cell a=7.231 b=7.625 c=8.190 alpha=60.98 beta=55.92 gamma=64.15
Sites, in units of the cell vectors:
1 Hg 0.500 0.500 0.500
2 As 0.000 0.000 0.000
3 I 0.068 0.421 0.754
4 I 0.786 0.035 0.770
5 I 0.582 0.228 0.240
6 I 0.214 0.965 0.230
7 I 0.932 0.579 0.246
8 I 0.418 0.772 0.760

---

(3)
Computed, not measured: a relaxed Li4PmDy3Se8 crystal at the GGA-PBE level of DFT.

Summary:
Formation energy without anion corrections ... -1.6899 eV per atom
Crystal system ... trigonal
M_tot ... 0.00 μB per cell
V ... 23.65 A^3/atom

Unit cell a=8.195 b=8.048 c=8.193 alpha=120.64 beta=120.01 gamma=90.00
Sites, in units of the cell vectors:
1 Li 0.500 0.000 0.000
2 Li 0.500 0.000 0.500
3 Li 0.000 0.000 0.000
4 Li 0.000 0.000 0.500
5 Pm 0.000 0.500 0.000
6 Dy 0.500 0.500 0.000
7 Dy 0.500 0.500 0.500
8 Dy 0.000 0.500 0.500
9 Se 0.255 0.755 0.001
10 Se 0.255 0.755 0.509
11 Se 0.249 0.248 0.498
12 Se 0.746 0.755 0.001
13 Se 0.254 0.245 0.999
14 Se 0.751 0.752 0.502
15 Se 0.745 0.245 0.491
16 Se 0.745 0.245 0.999

---

(4)
Computed, not measured: a relaxed YHf3F crystal at the GGA-PBE level of DFT.

Summary:
Formation energy without anion corrections ... -0.4493 eV per atom
Crystal system ... cubic
M_tot ... 0.00 μB per cell
V ... 20.79 A^3/atom
Energy above the lowest structure with this stoichiometry ... 0 meV per atom

Unit cell a=4.702 b=4.702 c=4.702 alpha=90.00 beta=90.00 gamma=90.00
Sites, in units of the cell vectors:
1 Y 0.500 0.500 0.500
2 Hf 0.000 0.500 0.000
3 Hf 0.000 0.000 0.500
4 Hf 0.500 0.000 0.000
5 F 0.000 0.000 0.000

---

(5)
Computed, not measured: a relaxed KScP2Cl crystal at the GGA-PBE level of DFT.

Summary:
Formation energy without anion corrections ... 0.8396 eV per atom
Crystal system ... tetragonal
M_tot ... 0.34 μB per cell
V ... 27.41 A^3/atom
Energy above the lowest structure with this stoichiometry ... 1441 meV per atom

Unit cell a=5.145 b=5.145 c=5.178 alpha=90.00 beta=90.00 gamma=90.00
Each line ends with the local moment (μB).
Sites, in units of the cell vectors:
1 Sc 0.500 0.500 0.500  -0.05
2 P 0.000 0.500 0.000  0.09
3 P 0.500 0.000 0.000  0.09
4 K 0.000 0.000 0.000  0.03
5 Cl 0.000 0.000 0.500  0.01

---

(6)
Computed, not measured: a relaxed LiTaCl4 crystal at the GGA-PBE level of DFT.

Summary:
Formation energy without anion corrections ... 0.7610 eV per atom
Crystal system ... cubic
M_tot ... 1.95 μB per cell
V ... 23.26 A^3/atom

Unit cell a=5.822 b=5.822 c=5.822 alpha=60.00 beta=60.00 gamma=60.00
Each line ends with the local moment (μB).
Sites, in units of the cell vectors:
1 Li 0.750 0.750 0.750  0.03
2 Ta 0.000 0.000 0.000  2.12
3 Cl 0.878 0.374 0.374  -0.29
4 Cl 0.374 0.374 0.878  -0.29
5 Cl 0.374 0.878 0.374  -0.29
6 Cl 0.374 0.374 0.374  -0.29